Compound: PaVAg2O8
Source: Alexandria via LeMat-Bulk
Functional: GGA+U
Structure: relaxed

```
PaVAg2O8
1.0
-1.467 -1.826 5.714
3.725 -3.474 -3.491
4.558 2.810 2.068
Pa V Ag O
1 1 2 8
Direct
0.000 0.000 0.500
0.000 0.000 0.000
0.667 0.333 0.927
0.333 0.667 0.073
0.863 0.726 0.785
0.274 0.137 0.785
0.863 0.137 0.785
0.137 0.274 0.215
0.726 0.863 0.215
0.137 0.863 0.215
0.667 0.333 0.280
0.333 0.667 0.720
```

Compound: PaVAgO6
Source: Alexandria via LeMat-Bulk
Functional: GGA+U
Structure: relaxed

```
PaVAgO6
1.0
-0.660 -4.866 2.462
2.857 0.346 -4.679
7.738 1.393 4.828
Pa V Ag O
2 2 2 12
Direct
0.333 0.667 0.250
0.667 0.333 0.750
0.667 0.333 0.250
0.333 0.667 0.750
0.000 0.000 0.000
0.000 0.000 0.500
0.654 0.618 0.138
0.964 0.346 0.138
0.346 0.964 0.638
0.036 0.654 0.862
0.382 0.346 0.362
0.964 0.618 0.362
0.618 0.964 0.862
0.654 0.036 0.362
0.036 0.382 0.638
0.382 0.036 0.138
0.618 0.654 0.638
0.346 0.382 0.862
```

Compound: PaV2AgO8
Source: Alexandria via LeMat-Bulk
Functional: GGA+U
Structure: relaxed

```
PaV2AgO8
1.0
-5.295 -2.574 0.668
4.886 -3.330 -0.383
0.701 0.270 6.592
Pa V Ag O
1 2 1 8
Direct
0.000 0.000 0.000
0.667 0.333 0.288
0.333 0.667 0.712
0.000 0.000 0.500
0.832 0.168 0.199
0.832 0.663 0.199
0.337 0.168 0.199
0.663 0.832 0.801
0.333 0.667 0.466
0.667 0.333 0.534
0.168 0.832 0.801
0.168 0.337 0.801
```

Compound: PaVAg2O6
Source: Alexandria via LeMat-Bulk
Functional: GGA+U
Structure: relaxed

```
PaVAg2O6
1.0
5.611 0.000 0.000
2.805 4.859 0.000
2.806 1.620 4.749
Pa V Ag O
1 1 2 6
Direct
0.816 0.816 0.552
0.316 0.316 0.052
0.565 0.565 0.306
0.067 0.067 0.798
0.547 0.164 0.285
0.164 0.004 0.285
0.004 0.547 0.285
0.469 0.628 0.817
0.628 0.085 0.818
0.085 0.469 0.817
```

| no. | electronic total energy (eV/atom) |
| --- | --- |
| 1 | -6.2517 |
| 2 | -7.4948 |
| 3 | -7.6912 |
| 4 | -7.0711 |